Here is a geometry-optimized InAg2I6 structure from the Alexandria database. Energies are from PBE.

a b c (Å): 7.387 7.788 12.343
angles (deg): 90.00 81.94 90.00
Sites, in units of the cell vectors:
I  0.649  0.445  0.223
I  0.167  0.309  0.073
I  0.812  0.692  0.586
I  0.851  0.945  0.277
I  0.333  0.809  0.427
I  0.149  0.055  0.723
I  0.312  0.808  0.086
I  0.833  0.691  0.927
I  0.667  0.191  0.573
I  0.188  0.308  0.414
I  0.688  0.192  0.914
I  0.351  0.555  0.777
In  0.000  0.000  0.500
In  0.500  0.500  0.000
Ag  0.025  0.363  0.855
Ag  0.975  0.637  0.145
Ag  0.525  0.137  0.355
Ag  0.475  0.863  0.645

Properties
symmetry = P2_1/c
energy above the most stable polymorph in this dataset = 0.5 kJ per mole of atoms
size of the total moment = 0.00 μB/cell
formation energy (no corrections) = -266 meV per atom